Computed, not measured: a relaxed structure of PuCrHgO6 at the PBE with a Hubbard U level of DFT.

Computed properties:
Symmetry: P-31c, No. 163
Electronic total energy in eV per atom: -7.454
Magnetization in μB per atom: 0.444
Crystal system: trigonal

Cell lengths 5.3468, 5.3468, 9.9489 Å; angles 90.00, 90.00, 120.00 degrees
Closest atoms and distances in Å follow each position.
Fractional coordinates of all 18 atoms:
Cr 0.6667 0.3333 0.2500  6 O 2.02
Cr 0.3333 0.6667 0.7500  6 O 2.02
O 0.3611 0.9985 0.6421  1 Cr 2.02, 1 Pu 2.03
O 0.6389 0.0015 0.3579  1 Cr 2.02, 1 Pu 2.03
O 0.6375 0.6389 0.6421  1 Cr 2.02, 1 Pu 2.03
O 0.3625 0.3611 0.3579  1 Cr 2.02, 1 Pu 2.03
O 0.9985 0.6375 0.3579  1 Cr 2.02, 1 Pu 2.03
O 0.9985 0.3611 0.1421  1 Cr 2.02, 1 Pu 2.03
O 0.6375 0.9985 0.8579  1 Cr 2.02, 1 Pu 2.03
O 0.0015 0.6389 0.8579  1 Cr 2.02, 1 Pu 2.03
O 0.3611 0.3625 0.8579  1 Cr 2.02, 1 Pu 2.03
O 0.3625 0.0015 0.1421  1 Cr 2.02, 1 Pu 2.03
O 0.0015 0.3625 0.6421  1 Cr 2.02, 1 Pu 2.03
O 0.6389 0.6375 0.1421  1 Cr 2.02, 1 Pu 2.03
Pu 0.6667 0.3333 0.7500  6 O 2.03
Pu 0.3333 0.6667 0.2500  6 O 2.03
Hg 0.0000 0.0000 0.5000  6 O 2.40
Hg 0.0000 0.0000 0.0000  6 O 2.40